[1]
# PBE BeHg2Pt2, optimized geometry
data_BeHg2Pt2
_cell_length_a 6.0348
_cell_length_b 6.0348
_cell_length_c 4.7609
_cell_angle_alpha 90.00
_cell_angle_beta 90.00
_cell_angle_gamma 90.00
_space_group_name_H-M_alt 'P 4/m b m'
_space_group_IT_number 127
_space_group_name_Hall '-P 4 2ab'
loop_
_atom_site_label
_atom_site_type_symbol
_atom_site_fract_x
_atom_site_fract_y
_atom_site_fract_z
_atom_site_occupancy
Be1 Be 0.0000 0.0000 0.0000 1
Hg1 Hg 0.1717 0.3283 0.5000 1
Pt1 Pt 0.1575 0.6575 0.0000 1
# Final energy ... -3.42 eV/atom
# Total magnetization ... 0.000 μB/atom


[2]
# PBE Dy2Ho3Hg3, optimized geometry
data_Dy2Ho3Hg3
_cell_length_a 5.1232
_cell_length_b 9.2802
_cell_length_c 8.8417
_cell_angle_alpha 90.00
_cell_angle_beta 90.00
_cell_angle_gamma 90.00
_space_group_name_H-M_alt 'A m m 2'
_space_group_IT_number 38
loop_
_space_group_symop_operation_xyz
'x,y,z'
'-x,-y,z'
'-x,y,z'
'x,-y,z'
'x,y+1/2,z+1/2'
'-x,-y+1/2,z+1/2'
'-x,y+1/2,z+1/2'
'x,-y+1/2,z+1/2'
loop_
_atom_site_label
_atom_site_type_symbol
_atom_site_fract_x
_atom_site_fract_y
_atom_site_fract_z
_atom_site_occupancy
Dy1 Dy 0.0000 0.0000 0.0000 1
Dy2 Dy 0.5000 0.0000 0.2850 1
Ho1 Ho 0.0000 0.2268 0.7164 1
Ho2 Ho 0.5000 0.0000 0.7174 1
Hg1 Hg 0.0000 0.0000 0.4604 1
Hg2 Hg 0.5000 0.2114 0.9949 1
# Final energy ... -3.24 eV/atom
# Energy of formation from the pure elements ... -0.26 eV/atom
# Total magnetization ... 0.006 μB/atom


[3]
# PBE SnMoPt2, optimized geometry
data_SnMoPt2
_cell_length_a 6.4711
_cell_length_b 6.4711
_cell_length_c 6.4711
_cell_angle_alpha 90.00
_cell_angle_beta 90.00
_cell_angle_gamma 90.00
_space_group_name_H-M_alt 'F -4 3 m'
_space_group_IT_number 216
_space_group_name_Hall 'F -4 2 3'
loop_
_atom_site_label
_atom_site_type_symbol
_atom_site_fract_x
_atom_site_fract_y
_atom_site_fract_z
_atom_site_occupancy
Sn1 Sn 0.0000 0.0000 0.0000 1
Mo1 Mo 0.2500 0.2500 0.2500 1
Pt1 Pt 0.0000 0.0000 0.5000 1
Pt2 Pt 0.2500 0.2500 0.7500 1
# Final energy ... -6.75 eV/atom
# Total magnetization ... 0.158 μB/atom


[4]
# PBE HoUTa, optimized geometry
data_HoUTa
_cell_length_a 6.8095
_cell_length_b 6.8095
_cell_length_c 6.8095
_cell_angle_alpha 90.00
_cell_angle_beta 90.00
_cell_angle_gamma 90.00
_space_group_name_H-M_alt 'F -4 3 m'
_space_group_IT_number 216
_space_group_name_Hall 'F -4 2 3'
loop_
_atom_site_label
_atom_site_type_symbol
_atom_site_fract_x
_atom_site_fract_y
_atom_site_fract_z
_atom_site_occupancy
Ho1 Ho 0.0000 0.0000 0.0000 1
U1 U 0.2500 0.2500 0.2500 1
Ta1 Ta 0.0000 0.0000 0.5000 1
# Final energy ... -7.79 eV/atom
# Energy of formation from the pure elements ... 1.45 eV/atom
# Distance to the lowest polymorph of the same formula ... 995.8 meV/atom
# Total magnetization ... 1.084 μB/atom